VASP calculation (PBE-GGA) on a relaxed structure of SrLiPmCl6.

Lattice parameters (Å, degrees): 6.8403 6.8403 12.7719 90.00 90.00 120.00
Atoms (fractional coordinates):
Sr 0.0000 0.0000 0.0000
Sr 0.0000 0.0000 0.5000
Li 0.3333 0.6667 0.2500
Li 0.6667 0.3333 0.7500
Pm 0.3333 0.6667 0.7500
Pm 0.6667 0.3333 0.2500
Cl 0.0116 0.3575 0.1325
Cl 0.0116 0.6541 0.3675
Cl 0.3459 0.3575 0.3675
Cl 0.3459 0.9884 0.1325
Cl 0.3575 0.0116 0.6325
Cl 0.3575 0.3459 0.8675
Cl 0.6425 0.6541 0.1325
Cl 0.6425 0.9884 0.3675
Cl 0.6541 0.0116 0.8675
Cl 0.6541 0.6425 0.6325
Cl 0.9884 0.3459 0.6325
Cl 0.9884 0.6425 0.8675

Properties
As for the density: 2.9 g cm⁻³.


VASP calculation (PBE-GGA) on a relaxed structure of LiPm3Te2Cl6.

Lattice parameters (Å, degrees): 8.2253 8.2253 6.5979 95.08 95.08 61.81
Atoms (fractional coordinates):
Li 0.0000 0.0000 0.0000
Pm 0.0000 0.5000 0.0000
Pm 0.5000 0.0000 0.0000
Pm 0.5000 0.5000 0.5000
Te 0.3132 0.3132 0.7040
Te 0.6868 0.6868 0.2960
Cl 0.1601 0.1601 0.1812
Cl 0.1888 0.6639 0.2341
Cl 0.3361 0.8112 0.7659
Cl 0.6639 0.1888 0.2341
Cl 0.8112 0.3361 0.7659
Cl 0.8399 0.8399 0.8188

Properties
As for the density: 3.9 g cm⁻³.


VASP calculation (PBE-GGA) on a relaxed structure of LiPmTlCl5.

Lattice parameters (Å, degrees): 7.5922 7.5922 10.1980 103.77 103.77 107.31
Atoms (fractional coordinates):
Li 0.1907 0.8093 0.7500
Li 0.8093 0.1907 0.2500
Pm 0.5000 0.5000 0.0000
Pm 0.5000 0.5000 0.5000
Tl 0.1450 0.8550 0.2500
Tl 0.8550 0.1450 0.7500
Cl 0.1211 0.2536 0.4237
Cl 0.1888 0.5863 0.8815
Cl 0.2536 0.1211 0.9237
Cl 0.4137 0.8112 0.6185
Cl 0.4163 0.5837 0.2500
Cl 0.5837 0.4163 0.7500
Cl 0.5863 0.1888 0.3815
Cl 0.7464 0.8789 0.0763
Cl 0.8112 0.4137 0.1185
Cl 0.8789 0.7464 0.5763

Properties
As for the density: 3.4 g cm⁻³.


VASP calculation (PBE-GGA) on a relaxed structure of Li2PmTlCl6.

Lattice parameters (Å, degrees): 7.4548 7.4548 7.4548 55.84 55.84 55.84
Atoms (fractional coordinates):
Li 0.0000 0.0000 0.0000
Li 0.4945 0.4945 0.4945
Pm 0.7970 0.7970 0.7970
Tl 0.2739 0.2739 0.2739
Cl 0.0880 0.3778 0.7405
Cl 0.2202 0.8023 0.6662
Cl 0.3778 0.7405 0.0880
Cl 0.6662 0.2202 0.8023
Cl 0.7405 0.0880 0.3778
Cl 0.8023 0.6662 0.2202

Properties
As for the density: 3.6 g cm⁻³.


VASP calculation (PBE-GGA) on a relaxed structure of LiPrCl4.

Lattice parameters (Å, degrees): 7.5381 7.5381 7.5381 107.94 107.94 112.58
Atoms (fractional coordinates):
Li 0.3750 0.6250 0.7500
Li 0.6250 0.3750 0.2500
Pr 0.1250 0.8750 0.2500
Pr 0.8750 0.1250 0.7500
Cl 0.1777 0.2427 0.5650
Cl 0.1777 0.6127 0.9350
Cl 0.2427 0.1777 0.0650
Cl 0.3873 0.8223 0.5650
Cl 0.6127 0.1777 0.4350
Cl 0.7573 0.8223 0.9350
Cl 0.8223 0.3873 0.0650
Cl 0.8223 0.7573 0.4350

Properties
As for the density: 2.9 g cm⁻³. Its offset from the most stable computed form is 0 meV/atom.


VASP calculation (PBE-GGA) on a relaxed structure of LiPr2Cl6.

Lattice parameters (Å, degrees): 6.6741 7.0185 11.2211 90.00 117.55 90.00
Atoms (fractional coordinates):
Li 0.0000 0.0000 0.0000
Li 0.0000 0.5000 0.5000
Pr 0.3333 0.1192 0.7751
Pr 0.3333 0.3808 0.2751
Pr 0.6667 0.6192 0.7249
Pr 0.6667 0.8808 0.2249
Cl 0.0557 0.0566 0.2284
Cl 0.0557 0.4434 0.7284
Cl 0.2553 0.6777 0.0875
Cl 0.2553 0.8223 0.5875
Cl 0.3689 0.1781 0.0553
Cl 0.3689 0.3219 0.5553
Cl 0.6311 0.6781 0.4447
Cl 0.6311 0.8219 0.9447
Cl 0.7447 0.1777 0.4125
Cl 0.7447 0.3223 0.9125
Cl 0.9443 0.5566 0.2716
Cl 0.9443 0.9434 0.7716

Properties
As for the density: 3.6 g cm⁻³. Its offset from the most stable computed form is 2 meV/atom.


VASP calculation (PBE-GGA) on a relaxed structure of Li2PrCl4.

Lattice parameters (Å, degrees): 7.9105 7.9105 7.9105 125.54 118.07 87.03
Atoms (fractional coordinates):
Li 0.0000 0.0000 0.0000
Li 0.3787 0.6287 0.7500
Li 0.5000 0.0000 0.5000
Li 0.6213 0.3713 0.2500
Pr 0.0000 0.0000 0.5000
Pr 0.0000 0.5000 0.0000
Cl 0.2464 0.2363 0.4899
Cl 0.2464 0.7565 0.0101
Cl 0.2555 0.2299 0.0256
Cl 0.2957 0.7701 0.5256
Cl 0.7043 0.2299 0.4744
Cl 0.7445 0.7701 0.9744
Cl 0.7536 0.2435 0.9899
Cl 0.7536 0.7637 0.5101

Properties
As for the density: 2.9 g cm⁻³.


VASP calculation (PBE-GGA) on a relaxed structure of LiPrCl4.

Lattice parameters (Å, degrees): 7.7038 6.5023 7.7391 90.00 118.21 90.00
Atoms (fractional coordinates):
Li 0.0000 0.0000 0.0000
Li 0.0000 0.5000 0.5000
Pr 0.5000 0.0000 0.5000
Pr 0.5000 0.5000 0.0000
Cl 0.1558 0.2129 0.3146
Cl 0.1558 0.2871 0.8146
Cl 0.3262 0.7159 0.6453
Cl 0.3262 0.7841 0.1453
Cl 0.6738 0.2159 0.8547
Cl 0.6738 0.2841 0.3547
Cl 0.8442 0.7129 0.1854
Cl 0.8442 0.7871 0.6854

Properties
As for the density: 2.8 g cm⁻³. Its offset from the most stable computed form is 49 meV/atom.


Number 1: E_tot -4.386 eV per atom, formation energy without anion corrections -2.23 eV/atom. Number 2: E_tot -4.666 eV per atom, formation energy without anion corrections -1.87 eV/atom. Number 3: E_tot -4.135 eV per atom, formation energy without anion corrections -1.85 eV/atom. Number 4: E_tot -4.019 eV per atom, formation energy without anion corrections -1.82 eV/atom. Number 5: E_tot -4.458 eV per atom, formation energy without anion corrections -2.11 eV/atom. Number 6: E_tot -4.530 eV per atom, formation energy without anion corrections -2.02 eV/atom. Number 7: E_tot -4.137 eV per atom, formation energy without anion corrections -1.85 eV/atom. Number 8: E_tot -4.409 eV per atom, formation energy without anion corrections -2.06 eV/atom.